This record from the Alexandria database describes crystalline Pt at its relaxed geometry. The functional is PBE.

Cell: 8.2414 8.2414 3.9278 Å, 90.00 90.00 90.00°
Space group I4/mmm (No. 139)
Asymmetric unit:
Pt1 0.0000 0.3248 0.0000
Pt2 0.1605 0.1605 0.5000

Results
Offset from the most stable computed form, meV/atom: 68
E_form, kcal/mol of atoms: 1.6

=====

This record from the Alexandria database describes crystalline AcEr12Tm7 at its relaxed geometry. The functional is PBE.

Cell: 11.2677 11.2677 11.2677 Å, 90.00 90.00 90.00°
Space group Im-3m (No. 229)
Asymmetric unit:
Ac1 0.0000 0.0000 0.0000
Er1 0.0000 0.2672 0.2672
Tm1 0.0000 0.0000 0.5000
Tm2 0.2500 0.2500 0.2500

Results
Offset from the most stable computed form, meV/atom: 459
E_form, kcal/mol of atoms: 16.2

=====

This record from the Alexandria database describes crystalline Nd2TcGe2 at its relaxed geometry. The functional is PBE.

Cell: 6.5034 12.4224 6.2138 Å, 90.00 90.00 90.00°
Space group Ibam (No. 72)
Asymmetric unit:
Nd1 0.1996 0.1422 0.0000
Tc1 0.0000 0.5000 0.2500
Ge1 0.2259 0.3945 0.0000

Results
E_form, kcal/mol of atoms: -11.8

=====

Repeat the third record exactly.
This record from the Alexandria database describes crystalline Nd2TcGe2 at its relaxed geometry. The functional is PBE.

Cell: 6.5034 12.4224 6.2138 Å, 90.00 90.00 90.00°
Space group Ibam (No. 72)
Asymmetric unit:
Nd1 0.1996 0.1422 0.0000
Tc1 0.0000 0.5000 0.2500
Ge1 0.2259 0.3945 0.0000

Results
E_form, kcal/mol of atoms: -11.8

=====

Question: Number 3 is which compound?
Answer: Nd2TcGe2

=====

Question: Among the records above, which one has the lowest E_form?
Answer: Nd2TcGe2